(1)
LaSeN2O after structural relaxation, computed with PBE.

a = 4.002 Å, b = 4.002 Å, c = 6.717 Å
α = 90.00°, β = 90.00°, γ = 90.00°
Space group P4/mmm (No. 123)
One atom of each set of equivalent atoms:
La (0.000, 0.000, 0.000) [1 per cell]
Se (0.000, 0.000, 0.500) [1 per cell]
N (0.000, 0.500, 0.000) [2 per cell]
O (0.500, 0.500, 0.500) [1 per cell]

- ρ: 4043 kg/m³
- Crystal system: tetragonal
- Final energy: -4.62 eV/atom

---

(2)
NaAgSb after structural relaxation, computed with PBE.

a = 6.727 Å, b = 6.727 Å, c = 6.727 Å
α = 90.00°, β = 90.00°, γ = 90.00°
Space group F-43m (No. 216)
One atom of each set of equivalent atoms:
Na (0.000, 0.000, 0.000) [4 per cell]
Ag (0.250, 0.250, 0.250) [4 per cell]
Sb (0.000, 0.000, 0.500) [4 per cell]

- ρ: 5513 kg/m³
- Crystal system: cubic
- E above lowest polymorph: 0.29 eV/f.u.

---

(3)
CaThIn after structural relaxation, computed with PBE.

a = 5.4094 Å, b = 5.4094 Å, c = 3.6672 Å
α = 90.00°, β = 90.00°, γ = 120.00°
Space group P3m1 (No. 156)
One atom of each set of equivalent atoms:
Ca (0.0000, 0.0000, 0.0000) [1 per cell]
Th (0.6667, 0.3333, 0.4474) [1 per cell]
In (0.3333, 0.6667, 0.7907) [1 per cell]

- ρ: 6914 kg/m³
- Crystal system: trigonal
- E above lowest polymorph: 0.37 eV/f.u.

---

The lowest ρ belongs to which entry?
LaSeN2O

---

Copy entry 1 word for word.
LaSeN2O after structural relaxation, computed with PBE.

a = 4.002 Å, b = 4.002 Å, c = 6.717 Å
α = 90.00°, β = 90.00°, γ = 90.00°
Space group P4/mmm (No. 123)
One atom of each set of equivalent atoms:
La (0.000, 0.000, 0.000) [1 per cell]
Se (0.000, 0.000, 0.500) [1 per cell]
N (0.000, 0.500, 0.000) [2 per cell]
O (0.500, 0.500, 0.500) [1 per cell]

- ρ: 4043 kg/m³
- Crystal system: tetragonal
- Final energy: -4.62 eV/atom

---

ρ of number 3 (CaThIn)?
6914 kg/m³